Entry 1:
A plane-wave DFT calculation with PBE was carried out for Ac8LaRh6 after structural relaxation.

## Properties
The total magnetic moment is 0.0 μB/f.u. The value obtained for the energy of formation is -0.604 eV/atom.

abc: 7.507 7.507 10.969
angles: 69.99 69.99 60.00
Element x y z (fractional)
1 Ac 0.774 0.443 0.674
2 Ac 0.891 0.226 0.326
3 Ac 0.557 0.891 0.326
4 Ac 0.333 0.333 0.000
5 Ac 0.667 0.667 0.000
6 Ac 0.443 0.109 0.674
7 Ac 0.109 0.774 0.674
8 Ac 0.226 0.557 0.326
9 La 0.000 0.000 0.000
10 Rh 0.941 0.612 0.177
11 Rh 0.730 0.059 0.823
12 Rh 0.388 0.730 0.823
13 Rh 0.612 0.270 0.177
14 Rh 0.270 0.941 0.177
15 Rh 0.059 0.388 0.823

=====

Entry 2:
A plane-wave DFT calculation with PBE was carried out for Ac3LaRh after structural relaxation.

## Properties
The total magnetic moment is 1.5 μB/f.u. The distance to the lowest polymorph of the same formula comes out at 0.20 eV per formula unit. The value obtained for the energy of formation is -0.200 eV/atom.

abc: 5.878 5.878 5.878
angles: 90.00 90.00 90.00
Site moments in Bohr magnetons follow the coordinates.
Element x y z (fractional)
1 Ac 0.000 0.500 0.000  0.07
2 Ac 0.000 0.000 0.500  0.07
3 Ac 0.500 0.000 0.000  0.07
4 Rh 0.000 0.000 0.000  0.07
5 La 0.500 0.500 0.500  0.32

=====

Entry 3:
A plane-wave DFT calculation with PBE was carried out for Ac3La2Rh3 after structural relaxation.

## Properties
The total magnetic moment is 0.0 μB/f.u. The value obtained for the energy of formation is -0.543 eV/atom.

abc: 5.818 7.328 14.513
angles: 88.62 90.00 113.39
Element x y z (fractional)
1 Ac 0.653 0.306 0.574
2 Ac 0.749 0.498 0.249
3 Ac 0.958 0.916 0.875
4 Ac 0.256 0.512 0.749
5 Ac 0.054 0.108 0.120
6 Ac 0.047 0.094 0.380
7 La 0.676 0.351 0.936
8 La 0.936 0.872 0.615
9 La 0.323 0.645 0.437
10 La 0.335 0.671 0.064
11 Rh 0.788 0.577 0.751
12 Rh 0.852 0.703 0.054
13 Rh 0.841 0.683 0.445
14 Rh 0.216 0.433 0.251
15 Rh 0.160 0.319 0.943
16 Rh 0.137 0.274 0.562

=====

Entry 4:
A plane-wave DFT calculation with PBE was carried out for AcLaRh2 after structural relaxation.

## Properties
The total magnetic moment is 0.0 μB/f.u. The distance to the lowest polymorph of the same formula comes out at 0.04 eV per formula unit. The value obtained for the energy of formation is -0.697 eV/atom.

abc: 5.846 5.854 12.068
angles: 90.00 103.89 90.00
Element x y z (fractional)
1 Ac 0.945 0.627 0.639
2 Ac 0.055 0.373 0.361
3 Ac 0.555 0.627 0.861
4 Ac 0.445 0.373 0.139
5 La 0.556 0.875 0.363
6 La 0.444 0.125 0.637
7 La 0.944 0.875 0.137
8 La 0.056 0.125 0.863
9 Rh 0.918 0.370 0.086
10 Rh 0.082 0.630 0.914
11 Rh 0.582 0.370 0.414
12 Rh 0.418 0.630 0.586
13 Rh 0.579 0.125 0.910
14 Rh 0.421 0.875 0.090
15 Rh 0.921 0.125 0.590
16 Rh 0.079 0.875 0.410

=====

Entry 5:
A plane-wave DFT calculation with PBE was carried out for Ac2La5Rh5 after structural relaxation.

## Properties
The total magnetic moment is 0.0 μB/f.u. The value obtained for the energy of formation is -0.661 eV/atom.

abc: 4.099 7.162 12.945
angles: 71.99 80.89 73.37
Element x y z (fractional)
1 Ac 0.960 0.297 0.784
2 Ac 0.040 0.703 0.216
3 La 0.500 0.500 0.500
4 La 0.344 0.258 0.053
5 La 0.263 0.115 0.360
6 La 0.737 0.885 0.640
7 La 0.656 0.742 0.947
8 Rh 0.884 0.801 0.430
9 Rh 0.294 0.596 0.815
10 Rh 0.706 0.404 0.185
11 Rh 0.116 0.199 0.570
12 Rh 0.000 0.000 0.000

=====

Entry 6:
A plane-wave DFT calculation with PBE was carried out for AcLaRh2 after structural relaxation.

## Properties
The total magnetic moment is 0.0 μB/f.u. The distance to the lowest polymorph of the same formula comes out at 0.38 eV per formula unit. The value obtained for the energy of formation is -0.611 eV/atom.

abc: 4.211 4.211 7.245
angles: 73.10 73.10 60.00
Element x y z (fractional)
1 Ac 0.500 0.500 0.500
2 Rh 0.745 0.745 0.764
3 Rh 0.255 0.255 0.236
4 La 0.000 0.000 0.000

=====

Entry 7:
A plane-wave DFT calculation with PBE was carried out for Ac2LaRh2 after structural relaxation.

## Properties
The total magnetic moment is 0.0 μB/f.u. The distance to the lowest polymorph of the same formula comes out at 0.00 eV per formula unit. The value obtained for the energy of formation is -0.625 eV/atom.

abc: 6.057 7.430 8.496
angles: 109.25 90.00 114.05
Element x y z (fractional)
1 Ac 0.666 0.332 0.582
2 Ac 0.334 0.668 0.418
3 Ac 0.007 0.015 0.744
4 Ac 0.993 0.985 0.256
5 La 0.344 0.688 0.906
6 La 0.656 0.312 0.094
7 Rh 0.178 0.357 0.602
8 Rh 0.822 0.643 0.398
9 Rh 0.488 0.976 0.226
10 Rh 0.512 0.024 0.774

=====

Entry 8:
A plane-wave DFT calculation with PBE was carried out for AcLa3Rh2 after structural relaxation.

## Properties
The total magnetic moment is 0.0 μB/f.u. The value obtained for the energy of formation is -0.564 eV/atom.

abc: 4.298 9.029 10.923
angles: 78.34 78.65 76.23
Element x y z (fractional)
1 Ac 0.437 0.429 0.696
2 Ac 0.563 0.571 0.304
3 La 0.065 0.054 0.815
4 La 0.935 0.946 0.185
5 La 0.694 0.681 0.932
6 La 0.306 0.319 0.068
7 La 0.815 0.819 0.550
8 La 0.185 0.181 0.450
9 Rh 0.875 0.358 0.891
10 Rh 0.125 0.642 0.109
11 Rh 0.628 0.110 0.633
12 Rh 0.372 0.890 0.367

=====

Entry 9:
A plane-wave DFT calculation with PBE was carried out for AcLaRh after structural relaxation.

## Properties
The total magnetic moment is 0.0 μB/f.u. The distance to the lowest polymorph of the same formula comes out at 0.00 eV per formula unit. The value obtained for the energy of formation is -0.562 eV/atom.

abc: 4.314 7.451 6.961
angles: 111.01 90.00 90.00
Element x y z (fractional)
1 Ac 0.752 0.505 0.257
2 Ac 0.252 0.503 0.746
3 La 0.752 0.998 0.735
4 La 0.252 0.009 0.269
5 Rh 0.752 0.247 0.499
6 Rh 0.252 0.761 0.504

=====

Entry 10:
A plane-wave DFT calculation with PBE was carried out for Ac8LaRh4 after structural relaxation.

## Properties
The total magnetic moment is 0.0 μB/f.u. The value obtained for the energy of formation is -0.475 eV/atom.

abc: 4.328 10.644 10.951
angles: 82.10 78.60 78.27
Element x y z (fractional)
1 Ac 0.149 0.327 0.375
2 Ac 0.559 0.659 0.223
3 Ac 0.473 0.345 0.710
4 Ac 0.882 0.677 0.559
5 Ac 0.852 0.994 0.301
6 Ac 0.216 0.671 0.898
7 Ac 0.179 0.010 0.632
8 Ac 0.816 0.332 0.036
9 La 0.516 0.002 0.967
10 Rh 0.370 0.830 0.429
11 Rh 0.847 0.510 0.795
12 Rh 0.184 0.493 0.138
13 Rh 0.661 0.173 0.505

=====

Entry 11:
A plane-wave DFT calculation with PBE was carried out for Ac5LaRh3 after structural relaxation.

## Properties
The total magnetic moment is 0.0 μB/f.u. The value obtained for the energy of formation is -0.548 eV/atom.

abc: 4.390 7.052 21.147
angles: 91.38 90.00 90.00
Element x y z (fractional)
1 Ac 0.500 0.803 0.736
2 Ac 0.500 0.818 0.072
3 Ac 0.500 0.776 0.395
4 Ac 0.000 0.680 0.904
5 Ac 0.000 0.721 0.564
6 Ac 0.000 0.279 0.436
7 Ac 0.000 0.320 0.096
8 Ac 0.500 0.182 0.928
9 Ac 0.500 0.224 0.605
10 Ac 0.500 0.197 0.264
11 La 0.000 0.698 0.234
12 La 0.000 0.302 0.766
13 Rh 0.000 0.000 0.000
14 Rh 0.000 0.014 0.669
15 Rh 0.000 0.986 0.331
16 Rh 0.500 0.486 0.830
17 Rh 0.500 0.500 0.500
18 Rh 0.500 0.514 0.170

=====

Entry 12:
A plane-wave DFT calculation with PBE was carried out for Ac4LaRh3 after structural relaxation.

## Properties
The total magnetic moment is 0.0 μB/f.u. The value obtained for the energy of formation is -0.607 eV/atom.

abc: 7.482 8.090 11.036
angles: 110.78 90.00 117.54
Element x y z (fractional)
1 Ac 0.273 0.207 0.939
2 Ac 0.933 0.207 0.439
3 Ac 0.535 0.403 0.629
4 Ac 0.868 0.403 0.129
5 Ac 0.127 0.601 0.839
6 Ac 0.474 0.601 0.339
7 Ac 0.055 0.787 0.544
8 Ac 0.732 0.787 0.044
9 Rh 0.688 0.371 0.869
10 Rh 0.684 0.371 0.369
11 Rh 0.305 0.608 0.592
12 Rh 0.303 0.608 0.092
13 Rh 0.896 0.814 0.799
14 Rh 0.918 0.814 0.299
15 La 0.665 0.988 0.739
16 La 0.322 0.988 0.239

=====

Entry 13:
A plane-wave DFT calculation with PBE was carried out for Ac3LaRh2 after structural relaxation.

## Properties
The total magnetic moment is 0.0 μB/f.u. The value obtained for the energy of formation is -0.560 eV/atom.

abc: 4.345 9.324 11.219
angles: 81.03 78.83 76.53
Element x y z (fractional)
1 Ac 0.062 0.069 0.806
2 Ac 0.938 0.931 0.194
3 Ac 0.686 0.682 0.946
4 Ac 0.314 0.318 0.054
5 Ac 0.813 0.813 0.560
6 Ac 0.187 0.187 0.440
7 La 0.441 0.424 0.694
8 La 0.559 0.576 0.306
9 Rh 0.877 0.379 0.867
10 Rh 0.123 0.621 0.133
11 Rh 0.624 0.129 0.623
12 Rh 0.376 0.871 0.377

=====

Entry 14:
A plane-wave DFT calculation with PBE was carried out for Ac2LaRh after structural relaxation.

## Properties
The total magnetic moment is 0.0 μB/f.u. The distance to the lowest polymorph of the same formula comes out at 0.76 eV per formula unit. The value obtained for the energy of formation is -0.237 eV/atom.

abc: 3.793 3.793 9.399
angles: 90.00 90.00 90.00
Element x y z (fractional)
1 Ac 0.000 0.000 0.813
2 Ac 0.000 0.000 0.187
3 Rh 0.500 0.500 0.000
4 La 0.500 0.500 0.500

=====

Entry 15:
A plane-wave DFT calculation with PBE was carried out for AcLa3Rh after structural relaxation.

## Properties
The total magnetic moment is 1.6 μB/f.u. The distance to the lowest polymorph of the same formula comes out at 0.40 eV per formula unit. The value obtained for the energy of formation is -0.239 eV/atom.

abc: 5.727 5.727 5.727
angles: 90.00 90.00 90.00
Site moments in Bohr magnetons follow the coordinates.
Element x y z (fractional)
1 Ac 0.500 0.500 0.500  0.19
2 Rh 0.000 0.000 0.000  0.06
3 La 0.000 0.500 0.000  0.12
4 La 0.000 0.000 0.500  0.12
5 La 0.500 0.000 0.000  0.12

=====

Entry 16:
A plane-wave DFT calculation with PBE was carried out for AcLaRh2 after structural relaxation.

## Properties
The total magnetic moment is 0.0 μB/f.u. The distance to the lowest polymorph of the same formula comes out at 0.45 eV per formula unit. The value obtained for the energy of formation is -0.594 eV/atom.

abc: 3.655 3.655 7.279
angles: 90.00 90.00 90.00
Element x y z (fractional)
1 Ac 0.500 0.500 0.000
2 Rh 0.000 0.000 0.731
3 Rh 0.000 0.000 0.269
4 La 0.500 0.500 0.500

=====

Entry 17:
A plane-wave DFT calculation with PBE was carried out for AcLa5Rh4 after structural relaxation.

## Properties
The total magnetic moment is 0.0 μB/f.u. The value obtained for the energy of formation is -0.575 eV/atom.

abc: 4.872 7.315 11.547
angles: 134.16 102.18 90.00
Element x y z (fractional)
1 Ac 0.500 0.000 0.000
2 La 0.167 0.390 0.335
3 La 0.168 0.896 0.336
4 La 0.832 0.104 0.664
5 La 0.500 0.500 0.000
6 La 0.833 0.610 0.665
7 Rh 0.664 0.107 0.328
8 Rh 0.019 0.314 0.038
9 Rh 0.336 0.893 0.672
10 Rh 0.981 0.686 0.962

=====

Entry 18:
A plane-wave DFT calculation with PBE was carried out for Ac2LaRh after structural relaxation.

## Properties
The total magnetic moment is 0.7 μB/f.u. The distance to the lowest polymorph of the same formula comes out at 1.07 eV per formula unit. The value obtained for the energy of formation is -0.159 eV/atom.

abc: 4.068 4.068 11.311
angles: 79.64 79.64 60.00
Site moments in Bohr magnetons follow the coordinates.
Element x y z (fractional)
1 Ac 0.114 0.114 0.659  0.03
2 Ac 0.886 0.886 0.341  0.03
3 Rh 0.500 0.500 0.500  0.01
4 La 0.000 0.000 0.000  0.22

=====

Entry 19:
A plane-wave DFT calculation with PBE was carried out for AcLaRh after structural relaxation.

## Properties
The total magnetic moment is 0.0 μB/f.u. The distance to the lowest polymorph of the same formula comes out at 0.35 eV per formula unit. The value obtained for the energy of formation is -0.445 eV/atom.

abc: 5.120 5.120 5.120
angles: 60.00 60.00 60.00
Element x y z (fractional)
1 Ac 0.000 0.000 0.000
2 Rh 0.250 0.250 0.250
3 La 0.500 0.500 0.500

=====

Entry 20:
A plane-wave DFT calculation with PBE was carried out for Ac2La2Rh after structural relaxation.

## Properties
The total magnetic moment is 0.0 μB/f.u. The value obtained for the energy of formation is -0.200 eV/atom.

abc: 5.170 5.170 13.876
angles: 100.74 100.74 90.00
Element x y z (fractional)
1 Ac 0.821 0.821 0.642
2 Ac 0.071 0.571 0.142
3 Ac 0.429 0.929 0.858
4 Ac 0.179 0.179 0.358
5 La 0.939 0.439 0.878
6 La 0.689 0.689 0.378
7 La 0.311 0.311 0.622
8 La 0.561 0.061 0.122
9 Rh 0.500 0.500 0.000
10 Rh 0.750 0.250 0.500